(1)
Material: TaBOs
Method: DFT, PBE
State: relaxed

Results
E_tot	-9.235	eV/atom
polymorph energy (0 for the lowest one)	3.262	eV/f.u.
SG	No. 216
magnetization	0.0	μB per formula unit

a b c (Å): 4.071 4.071 4.071
angles (deg): 60.00 60.00 60.00
Sites, in units of the cell vectors:
Ta1 0.000 0.000 0.000
B1 0.500 0.500 0.500
Os1 0.750 0.750 0.750

---

(2)
Material: TaB4Os
Method: DFT, PBE
State: relaxed

Results
E_tot	-8.362	eV/atom
polymorph energy (0 for the lowest one)	0.000	eV/f.u.
SG	No. 71
magnetization	0.0	μB per formula unit

a b c (Å): 4.603 4.603 4.603
angles (deg): 141.70 111.67 81.14
Sites, in units of the cell vectors:
Ta1 0.000 0.000 0.000
B1 0.071 0.743 0.328
B2 0.415 0.743 0.672
B3 0.585 0.257 0.328
B4 0.929 0.257 0.672
Os1 0.500 0.500 0.000

---

(3)
Material: TbB2Os2
Method: DFT, PBE
State: relaxed

Results
E_tot	-8.468	eV/atom
SG	No. 139
magnetization	0.0	μB per formula unit

a b c (Å): 5.537 5.537 5.537
angles (deg): 138.06 138.06 60.81
Sites, in units of the cell vectors:
Tb1 0.000 0.000 0.000
B1 0.333 0.333 0.000
B2 0.667 0.667 0.000
Os1 0.250 0.750 0.500
Os2 0.750 0.250 0.500

---

(4)
Material: TbB4Os
Method: DFT, PBE
State: relaxed

Results
E_tot	-7.192	eV/atom
polymorph energy (0 for the lowest one)	2.863	eV/f.u.
SG	No. 71
magnetization	0.0	μB per formula unit

a b c (Å): 4.746 4.746 4.746
angles (deg): 140.88 111.49 81.83
Sites, in units of the cell vectors:
Tb1 0.000 0.000 0.000
B1 0.083 0.749 0.334
B2 0.415 0.749 0.666
B3 0.585 0.251 0.334
B4 0.917 0.251 0.666
Os1 0.500 0.500 0.000

---

(5)
Material: TbB4Os
Method: DFT, PBE
State: relaxed

Results
E_tot	-7.217	eV/atom
polymorph energy (0 for the lowest one)	2.712	eV/f.u.
SG	No. 191
magnetization	0.6	μB per formula unit

a b c (Å): 3.220 3.220 6.811
angles (deg): 90.00 90.00 120.00
Sites, in units of the cell vectors:
Tb1 0.000 0.000 0.000
B1 0.333 0.667 0.282
B2 0.333 0.667 0.718
B3 0.667 0.333 0.282
B4 0.667 0.333 0.718
Os1 0.000 0.000 0.500

---

(6)
Material: TbB4Os
Method: DFT, PBE
State: relaxed

Results
E_tot	-7.669	eV/atom
polymorph energy (0 for the lowest one)	0.000	eV/f.u.
SG	No. 55
magnetization	0.0	μB per formula unit

a b c (Å): 5.976 11.561 3.570
angles (deg): 90.00 90.00 90.00
Sites, in units of the cell vectors:
Tb1 0.128 0.150 0.000
Tb2 0.372 0.650 0.000
Tb3 0.628 0.350 0.000
Tb4 0.872 0.850 0.000
B1 0.026 0.691 0.500
B2 0.112 0.547 0.500
B3 0.136 0.970 0.500
B4 0.212 0.814 0.500
B5 0.288 0.314 0.500
B6 0.364 0.470 0.500
B7 0.388 0.047 0.500
B8 0.474 0.191 0.500
B9 0.526 0.809 0.500
B10 0.612 0.953 0.500
B11 0.636 0.530 0.500
B12 0.712 0.686 0.500
B13 0.788 0.186 0.500
B14 0.864 0.030 0.500
B15 0.888 0.453 0.500
B16 0.974 0.309 0.500
Os1 0.140 0.407 0.000
Os2 0.360 0.907 0.000
Os3 0.640 0.093 0.000
Os4 0.860 0.593 0.000

---

(7)
Material: TcB4Os
Method: DFT, PBE
State: relaxed

Results
E_tot	-7.822	eV/atom
polymorph energy (0 for the lowest one)	3.529	eV/f.u.
SG	No. 191
magnetization	0.0	μB per formula unit

a b c (Å): 2.971 2.971 6.859
angles (deg): 90.00 90.00 120.00
Sites, in units of the cell vectors:
Tc1 0.000 0.000 0.000
B1 0.333 0.667 0.248
B2 0.333 0.667 0.752
B3 0.667 0.333 0.248
B4 0.667 0.333 0.752
Os1 0.000 0.000 0.500

---

(8)
Material: TcBOs2
Method: DFT, PBE
State: relaxed

Results
E_tot	-9.159	eV/atom
SG	No. 216
magnetization	0.0	μB per formula unit

a b c (Å): 4.191 4.191 4.191
angles (deg): 60.00 60.00 60.00
Sites, in units of the cell vectors:
Tc1 0.000 0.000 0.000
B1 0.750 0.750 0.750
Os1 0.250 0.250 0.250
Os2 0.500 0.500 0.500

---

- Which value of magnetization does entry 8 give?
  0.0 μB per formula unit

---

- Among the records above, which one has the lowest E_tot?
  TaBOs

---

- What is the E_tot in the first record?
  -9.235 eV/atom

---

- magnetization of number 2 (TaB4Os)?
  0.0 μB per formula unit